Tl2PbW | PBE-GGA | relaxed

a = 3.039 Å, b = 4.874 Å, c = 14.695 Å
α = 90.00°, β = 90.00°, γ = 90.00°
Space group Immm (No. 71)
Unique sites:
Tl: 0.000 0.000 0.185
Pb: 0.000 0.500 0.000
W: 0.000 0.500 0.500

Results
density: 12.2 g cm⁻³
distance to the lowest polymorph of the same formula: 63 meV per atom
D(E_F): 7.3 states/eV/cell
final energy: -36.9 eV for the cell shown
formation energy: 736 meV per atom
crystal system: orthorhombic
total moment: 0.2 μB/f.u.

---

Tl2PbW | PBE-GGA | relaxed

a = 3.602 Å, b = 5.094 Å, c = 11.035 Å
α = 90.00°, β = 90.00°, γ = 90.00°
Space group Cmm2 (No. 35)
Unique sites:
Tl: 0.000 0.000 0.000
Tl: 0.000 0.500 0.266
Pb: 0.000 0.500 0.692
W: 0.000 0.000 0.480

Results
density: 13.1 g cm⁻³
distance to the lowest polymorph of the same formula: 1 meV per atom
D(E_F): 3.5 states/eV/cell
final energy: -37.4 eV for the cell shown
formation energy: 673 meV per atom
crystal system: orthorhombic
total moment: 0.0 μB/f.u.

---

TlPb2W | PBE-GGA | relaxed

a = 7.458 Å, b = 7.458 Å, c = 7.458 Å
α = 90.00°, β = 90.00°, γ = 90.00°
Space group Fm-3m (No. 225)
Unique sites:
Tl: 0.000 0.000 0.000
Pb: 0.250 0.250 0.250
W: 0.000 0.000 0.500

Results
density: 12.8 g cm⁻³
distance to the lowest polymorph of the same formula: 453 meV per atom
D(E_F): 13.8 states/eV/cell
final energy: -73.6 eV for the cell shown
formation energy: 1084 meV per atom
crystal system: cubic
total moment: 2.8 μB/f.u.

---

TlPbW | PBE-GGA | relaxed

a = 6.829 Å, b = 6.829 Å, c = 6.829 Å
α = 90.00°, β = 90.00°, γ = 90.00°
Space group F-43m (No. 216)
Unique sites:
Tl: 0.000 0.000 0.000
Pb: 0.000 0.000 0.500
W: 0.250 0.250 0.750

Results
density: 12.4 g cm⁻³
distance to the lowest polymorph of the same formula: 384 meV per atom
D(E_F): 12.8 states/eV/cell
final energy: -61.2 eV for the cell shown
formation energy: 1243 meV per atom
crystal system: cubic
total moment: 2.0 μB/f.u.

---

Tl2PbW | PBE-GGA | relaxed

a = 3.095 Å, b = 3.095 Å, c = 10.698 Å
α = 90.00°, β = 90.00°, γ = 90.00°
Space group P4mm (No. 99)
Unique sites:
Tl: 0.000 0.000 0.000
Tl: 0.500 0.500 0.269
Pb: 0.500 0.500 0.685
W: 0.000 0.000 0.478

Results
density: 13.0 g cm⁻³
distance to the lowest polymorph of the same formula: 35 meV per atom
D(E_F): 2.7 states/eV/cell
final energy: -18.6 eV for the cell shown
formation energy: 707 meV per atom
crystal system: tetragonal
total moment: 0.0 μB/f.u.

---

TlPbW2 | PBE-GGA | relaxed

a = 3.304 Å, b = 5.053 Å, c = 9.608 Å
α = 90.00°, β = 90.00°, γ = 90.00°
Space group Immm (No. 71)
Unique sites:
Tl: 0.000 0.000 0.000
Pb: 0.000 0.000 0.500
W: 0.000 0.500 0.248

Results
density: 16.1 g cm⁻³
distance to the lowest polymorph of the same formula: 644 meV per atom
D(E_F): 7.5 states/eV/cell
final energy: -54.1 eV for the cell shown
formation energy: 1230 meV per atom
crystal system: orthorhombic
total moment: 0.0 μB/f.u.

---

TlPb2W2 | PBE-GGA | relaxed

a = 3.703 Å, b = 3.703 Å, c = 19.061 Å
α = 90.00°, β = 90.00°, γ = 90.00°
Space group I4/mmm (No. 139)
Unique sites:
Tl: 0.000 0.000 0.000
Pb: 0.000 0.000 0.376
W: 0.000 0.500 0.250

Results
density: 12.5 g cm⁻³
distance to the lowest polymorph of the same formula: 0 meV per atom
D(E_F): 5.1 states/eV/cell
final energy: -64.8 eV for the cell shown
formation energy: 663 meV per atom
crystal system: tetragonal
total moment: 0.0 μB/f.u.

---

Tl2PbW | PBE-GGA | relaxed

a = 6.865 Å, b = 9.052 Å, c = 3.070 Å
α = 90.00°, β = 90.00°, γ = 90.00°
Space group Cmmm (No. 65)
Unique sites:
Tl: 0.250 0.250 0.000
Pb: 0.000 0.000 0.500
W: 0.000 0.500 0.500

Results
density: 13.9 g cm⁻³
distance to the lowest polymorph of the same formula: 350 meV per atom
D(E_F): 7.2 states/eV/cell
final energy: -34.6 eV for the cell shown
formation energy: 1022 meV per atom
crystal system: orthorhombic
total moment: 0.5 μB/f.u.

---

TlPbW2 | PBE-GGA | relaxed

a = 6.031 Å, b = 9.577 Å, c = 3.035 Å
α = 90.00°, β = 113.82°, γ = 90.00°
Space group C2/m (No. 12)
Unique sites:
Tl: 0.000 0.000 0.000
Pb: 0.000 0.500 0.000
W: 0.250 0.250 0.500

Results
density: 16.1 g cm⁻³
distance to the lowest polymorph of the same formula: 646 meV per atom
D(E_F): 8.0 states/eV/cell
final energy: -54.1 eV for the cell shown
formation energy: 1232 meV per atom
crystal system: monoclinic
total moment: 0.0 μB/f.u.

---

TlPbW3 | PBE-GGA | relaxed

a = 5.021 Å, b = 5.021 Å, c = 5.021 Å
α = 90.00°, β = 90.00°, γ = 90.00°
Space group Pm-3m (No. 221)
Unique sites:
Tl: 0.000 0.000 0.000
Pb: 0.500 0.500 0.500
W: 0.000 0.000 0.500

Results
density: 12.6 g cm⁻³
distance to the lowest polymorph of the same formula: 0 meV per atom
D(E_F): 6.5 states/eV/cell
final energy: -29.8 eV for the cell shown
formation energy: 3019 meV per atom
crystal system: cubic
total moment: 0.0 μB/f.u.

---

TlPb2W | PBE-GGA | relaxed

a = 7.464 Å, b = 7.464 Å, c = 7.464 Å
α = 90.00°, β = 90.00°, γ = 90.00°
Space group F-43m (No. 216)
Unique sites:
Tl: 0.000 0.000 0.000
Pb: 0.000 0.000 0.500
Pb: 0.250 0.250 0.750
W: 0.250 0.250 0.250

Results
density: 12.8 g cm⁻³
distance to the lowest polymorph of the same formula: 487 meV per atom
D(E_F): 11.8 states/eV/cell
final energy: -73.0 eV for the cell shown
formation energy: 1119 meV per atom
crystal system: cubic
total moment: 3.0 μB/f.u.

---

Tl2PbW | PBE-GGA | relaxed

a = 3.213 Å, b = 5.265 Å, c = 5.914 Å
α = 90.00°, β = 104.60°, γ = 90.00°
Space group P2/m (No. 10)
Unique sites:
Tl: 0.140 0.000 0.268
Pb: 0.500 0.500 0.000
W: 0.500 0.500 0.500

Results
density: 13.7 g cm⁻³
distance to the lowest polymorph of the same formula: 270 meV per atom
D(E_F): 3.0 states/eV/cell
final energy: -17.6 eV for the cell shown
formation energy: 942 meV per atom
crystal system: monoclinic
total moment: 0.0 μB/f.u.